Model one:
# PBE SrLiTlBi, relaxed
data_SrLiTlBi
_chemical_formula_sum 'Sr4 Li4 Tl4 Bi4'
_symmetry_space_group_name_H-M 'F -4 3 m'
_symmetry_Int_Tables_number 216
_symmetry_space_group_name_Hall 'F -4 2 3'
_cell_length_a 7.859
_cell_length_b 7.859
_cell_length_c 7.859
_cell_angle_alpha 90.00
_cell_angle_beta 90.00
_cell_angle_gamma 90.00
loop_
_atom_site_label
_atom_site_type_symbol
_atom_site_fract_x
_atom_site_fract_y
_atom_site_fract_z
Sr1 Sr 0.000 0.000 0.000
Li1 Li 0.000 0.000 0.500
Tl1 Tl 0.250 0.250 0.750
Bi1 Bi 0.250 0.250 0.250
# - Density of states at the Fermi level: 0.87 states/eV per atom
# - Magnetization: 0.00 μB/atom



Model two:
# PBE SrLiTlBi, relaxed
data_SrLiTlBi
_chemical_formula_sum 'Sr2 Li2 Tl2 Bi2'
_symmetry_space_group_name_H-M 'C 1 m 1'
_symmetry_Int_Tables_number 8
_cell_length_a 10.317
_cell_length_b 5.214
_cell_length_c 5.214
_cell_angle_alpha 90.00
_cell_angle_beta 120.23
_cell_angle_gamma 90.00
loop_
_symmetry_equiv_pos_as_xyz
'x,y,z'
'x,-y,z'
'x+1/2,y+1/2,z'
'x+1/2,-y+1/2,z'
loop_
_atom_site_label
_atom_site_type_symbol
_atom_site_fract_x
_atom_site_fract_y
_atom_site_fract_z
Sr1 Sr 0.000 0.000 0.000
Li1 Li 0.000 0.500 0.500
Tl1 Tl 0.250 0.500 0.251
Bi1 Bi 0.250 0.000 0.749
# - Density of states at the Fermi level: 0.43 states/eV per atom
# - Magnetization: 0.00 μB/atom



How do the energies compare? Relative to the most stable structure, in eV/atom: model one 0.005; model two 0.000.